! Li2CaZnGa PBE optimized geometry; values from VASP
&SYSTEM
  ibrav = 0, nat = 5, ntyp = 4
/
ATOMIC_SPECIES
Li 6.94 Li.upf
Ca 40.08 Ca.upf
Zn 65.41 Zn.upf
Ga 69.72 Ga.upf
CELL_PARAMETERS angstrom
4.883 0.000 0.000
0.000 4.883 0.000
0.000 0.000 4.716
ATOMIC_POSITIONS crystal
Li 0.000 0.500 0.000
Li 0.500 0.000 0.000
Ca 0.000 0.000 0.500
Zn 0.500 0.500 0.500
Ga 0.500 0.500 0.000
! - excess energy over the best structure of this formula in the dataset (meV per atom) = 3.5
! - total DFT energy (no corrections) (eV per formula unit) = -10.5
! - energy of formation from the pure elements (eV/atom) = -0.07
! - crystal system = tetragonal